(1)
4
Lattice="4.2865 0.0000 0.0000 2.1433 3.7123 0.0000 2.1433 1.2374 5.3675" Properties=species:S:1:pos:R:3 comment="LiLaGe2 (PBE-GGA, optimized geometry)" polymorph_energy_mev_per_atom=154 e_tot_ev_per_cell=-18.3 space_group="R-3m (166)" pbc="T T T"
Ge 2.1433 1.2374 1.9406
La 0.0000 0.0000 0.0000
Ge 6.4298 3.7123 3.4270
Li 4.2865 2.4748 2.6838

***

(2)
5
Lattice="4.5933 0.0000 0.0000 0.0000 4.5933 0.0000 0.0000 0.0000 4.5933" Properties=species:S:1:pos:R:3 comment="NaAsOs3 (PBE-GGA, optimized geometry)" polymorph_energy_mev_per_atom=0 e_tot_ev_per_cell=-31.9 space_group="Pm-3m (221)" pbc="T T T"
Os 2.2966 0.0000 0.0000
Os 0.0000 2.2966 0.0000
Os 0.0000 0.0000 2.2966
As 0.0000 0.0000 0.0000
Na 2.2966 2.2966 2.2966

***

- What is the formula in the second record?
  NaAsOs3